(1)
! Ca2NiCl | Alexandria | GGA-PBE | relaxed; values from VASP
&SYSTEM
  ibrav = 0, nat = 4, ntyp = 3
/
ATOMIC_SPECIES
Cl 35.45 Cl.upf
Ni 58.69 Ni.upf
Ca 40.08 Ca.upf
CELL_PARAMETERS angstrom
5.086 0.000 0.000
2.543 4.404 0.000
2.543 1.468 4.152
ATOMIC_POSITIONS angstrom
Cl 5.086 2.936 2.076
Ni 7.628 4.404 3.114
Ca 0.000 0.000 0.000
Ca 2.543 1.468 1.038
! Formation energy without anion corrections in eV/atom: 0.028
! Mass density in g cm⁻³: 3.11
! Calculated volume in A^3/atom: 23.252
! Symmetry: No. 216
! N(E_F) in states/eV/cell: 2.5

***

(2)
! Ac2Y3ErBi6 | Alexandria | GGA-PBE | relaxed; values from VASP
&SYSTEM
  ibrav = 0, nat = 12, ntyp = 4
/
ATOMIC_SPECIES
Ac 227.00 Ac.upf
Bi 208.98 Bi.upf
Er 167.26 Er.upf
Y 88.91 Y.upf
CELL_PARAMETERS angstrom
-2.132 5.183 5.707
-4.007 -6.869 -0.866
6.776 -2.794 3.191
ATOMIC_POSITIONS angstrom
Ac -2.760 1.145 3.505
Ac -3.378 -2.830 1.337
Bi 0.565 0.777 3.083
Bi -2.923 -2.046 4.586
Bi -0.035 -3.076 0.981
Bi 0.072 -5.257 4.950
Bi 0.672 -1.404 7.051
Bi 3.560 -2.434 3.447
Er 0.000 0.000 0.000
Y -0.296 -6.191 1.862
Y 0.933 1.711 6.171
Y 0.319 -2.240 4.016
! Mass density in g cm⁻³: 8.52
! Calculated volume in A^3/atom: 34.772
! Calculated formation energy in eV per atom: -0.8919
! Symmetry: No. 12
! N(E_F) in states/eV/cell: 2.2

***

(3)
! GeP2Ru2 | Alexandria | GGA-PBE | relaxed; values from VASP
&SYSTEM
  ibrav = 0, nat = 5, ntyp = 3
/
ATOMIC_SPECIES
P 30.97 P.upf
Ru 101.07 Ru.upf
Ge 72.64 Ge.upf
CELL_PARAMETERS angstrom
-2.979 1.826 -1.002
-1.795 -1.364 2.851
-0.682 4.802 4.185
ATOMIC_POSITIONS angstrom
P -2.432 1.835 3.980
P -3.024 3.430 2.054
Ru -3.508 3.856 4.270
Ru -1.948 1.408 1.764
Ge 0.000 0.000 0.000
! Mass density in g cm⁻³: 7.21
! Calculated volume in A^3/atom: 15.507
! Calculated formation energy in eV per atom: -0.1135
! Symmetry: No. 139
! N(E_F) in states/eV/cell: 2.8

***

(4)
! La3GaO | Alexandria | GGA-PBE | relaxed; values from VASP
&SYSTEM
  ibrav = 0, nat = 20, ntyp = 3
/
ATOMIC_SPECIES
O 16.00 O.upf
La 138.91 La.upf
Ga 69.72 Ga.upf
CELL_PARAMETERS angstrom
5.664 0.000 0.000
0.000 12.854 0.000
0.000 0.000 7.585
ATOMIC_POSITIONS angstrom
O 2.576 9.641 3.115
O 3.088 3.214 4.470
O 0.256 3.214 6.907
O 5.408 9.641 0.678
La 5.638 1.347 0.833
La 0.026 11.508 6.752
La 2.729 3.214 6.824
La 2.858 11.508 4.626
La 5.638 5.080 0.833
La 5.561 3.214 4.553
La 2.858 7.774 4.626
La 0.103 9.641 3.032
La 2.806 5.080 2.959
La 2.935 9.641 0.761
La 0.026 7.774 6.752
La 2.806 1.347 2.959
Ga 0.000 0.000 3.793
Ga 2.832 6.427 0.000
Ga 2.832 0.000 0.000
Ga 0.000 6.427 3.793
! Formation energy without anion corrections in eV/atom: -1.267
! Mass density in g cm⁻³: 6.04
! Calculated volume in A^3/atom: 27.612
! Symmetry: No. 62
! N(E_F) in states/eV/cell: 10.7

***

(5)
! HfTi4Nb2 | Alexandria | GGA-PBE | relaxed; values from VASP
&SYSTEM
  ibrav = 0, nat = 7, ntyp = 3
/
ATOMIC_SPECIES
Ti 47.87 Ti.upf
Nb 92.91 Nb.upf
Hf 178.49 Hf.upf
CELL_PARAMETERS angstrom
-2.222 1.168 -3.901
-4.398 -1.324 -0.649
-4.399 5.763 1.473
ATOMIC_POSITIONS angstrom
Ti -8.405 4.577 -2.116
Ti -4.997 1.444 -2.237
Ti -2.614 1.029 -0.961
Ti -6.022 4.162 -0.840
Nb -7.533 2.263 -3.306
Nb -3.487 3.342 0.229
Hf 0.000 0.000 0.000
! Mass density in g cm⁻³: 7.18
! Calculated volume in A^3/atom: 18.359
! Calculated formation energy in eV per atom: 0.0715
! Symmetry: No. 166
! N(E_F) in states/eV/cell: 10.9

***

(6)
! PmY2Tm4Sc | Alexandria | GGA-PBE | relaxed; values from VASP
&SYSTEM
  ibrav = 0, nat = 16, ntyp = 4
/
ATOMIC_SPECIES
Tm 168.93 Tm.upf
Y 88.91 Y.upf
Sc 44.96 Sc.upf
Pm 145.00 Pm.upf
CELL_PARAMETERS angstrom
9.189 -0.047 -1.726
-0.053 9.189 -1.726
-5.784 -5.788 8.193
ATOMIC_POSITIONS angstrom
Tm -3.636 1.193 6.461
Tm -0.534 3.876 2.364
Tm 3.886 -0.523 2.376
Tm 2.200 2.218 -0.737
Tm 1.151 1.136 5.478
Tm 6.988 2.161 -1.720
Tm 3.892 3.879 1.633
Tm -0.541 -0.525 3.108
Y 1.702 -2.917 3.233
Y 4.594 -0.023 -0.863
Y 4.568 4.571 -1.726
Y -2.892 -2.894 4.096
Sc 1.676 1.677 2.370
Sc 3.405 -5.835 6.467
Pm -0.027 4.594 -0.863
Pm 6.270 1.653 1.507
! Mass density in g cm⁻³: 6.83
! Calculated volume in A^3/atom: 31.699
! Calculated formation energy in eV per atom: 0.4472
! Symmetry: No. 15
! N(E_F) in states/eV/cell: 35.6

***

(7)
! GdPuIn2 | Alexandria | GGA-PBE | relaxed; values from VASP
&SYSTEM
  ibrav = 0, nat = 4, ntyp = 3
/
ATOMIC_SPECIES
In 114.82 In.upf
Gd 157.25 Gd.upf
Pu 244.00 Pu.upf
CELL_PARAMETERS angstrom
-1.400 -3.895 -1.983
1.491 -2.502 3.862
-4.359 0.534 2.029
ATOMIC_POSITIONS angstrom
In -2.179 0.267 1.014
In 0.745 -1.251 1.931
Gd -0.700 -1.947 -0.991
Pu -2.134 -2.931 1.954
! Mass density in g cm⁻³: 9.76
! Calculated volume in A^3/atom: 26.846
! Calculated formation energy in eV per atom: -0.2681
! Symmetry: No. 123
! N(E_F) in states/eV/cell: 11.5

***

(8)
! Sc8Zn2Pd | Alexandria | GGA-PBE | relaxed; values from VASP
&SYSTEM
  ibrav = 0, nat = 11, ntyp = 3
/
ATOMIC_SPECIES
Zn 65.41 Zn.upf
Sc 44.96 Sc.upf
Pd 106.42 Pd.upf
CELL_PARAMETERS angstrom
-0.399 4.571 1.357
-3.389 1.292 -5.350
-4.780 -4.495 5.299
ATOMIC_POSITIONS angstrom
Zn -4.174 0.107 -1.588
Zn -4.395 1.262 2.894
Sc -5.606 1.849 0.559
Sc -5.701 0.470 5.177
Sc -2.962 -0.481 0.747
Sc -3.464 -1.433 3.809
Sc -2.648 2.457 -0.619
Sc -5.920 -1.088 1.925
Sc -5.104 2.802 -2.503
Sc -2.867 0.899 -3.871
Pd -0.200 2.286 0.678
! Mass density in g cm⁻³: 4.22
! Calculated volume in A^3/atom: 21.355
! Calculated formation energy in eV per atom: -0.2644
! Symmetry: No. 12
! N(E_F) in states/eV/cell: 12.1

***

(9)
! ErAl3CuAg | Alexandria | GGA-PBE | relaxed; values from VASP
&SYSTEM
  ibrav = 0, nat = 12, ntyp = 4
/
ATOMIC_SPECIES
Al 26.98 Al.upf
Cu 63.55 Cu.upf
Ag 107.87 Ag.upf
Er 167.26 Er.upf
CELL_PARAMETERS angstrom
-4.563 3.322 -1.854
-3.823 -4.229 1.832
1.603 4.834 4.715
ATOMIC_POSITIONS angstrom
Al -5.560 2.370 3.655
Al -1.223 1.556 1.039
Al -1.086 -1.201 0.520
Al -2.737 -3.028 1.312
Al -3.367 0.460 -0.407
Al -5.019 -1.367 0.385
Cu -3.312 1.003 5.190
Cu -3.471 2.923 -0.496
Ag -5.431 1.231 1.295
Ag -1.352 2.695 3.399
Er -3.179 -0.164 2.773
Er -3.604 4.090 1.921
! Mass density in g cm⁻³: 6.26
! Calculated volume in A^3/atom: 18.562
! Calculated formation energy in eV per atom: -0.1528
! Symmetry: No. 63
! N(E_F) in states/eV/cell: 5.6

***

(10)
! PmSc2Pd | Alexandria | GGA-PBE | relaxed; values from VASP
&SYSTEM
  ibrav = 0, nat = 4, ntyp = 3
/
ATOMIC_SPECIES
Sc 44.96 Sc.upf
Pd 106.42 Pd.upf
Pm 145.00 Pm.upf
CELL_PARAMETERS angstrom
-3.602 0.388 0.541
-1.859 -2.554 1.853
-0.226 3.576 8.320
ATOMIC_POSITIONS angstrom
Sc -1.520 0.086 2.213
Sc -0.521 2.782 6.930
Pd -3.636 -1.432 1.617
Pm -2.853 0.680 5.313
! Mass density in g cm⁻³: 5.54
! Calculated volume in A^3/atom: 25.586
! Calculated formation energy in eV per atom: -0.2479
! Symmetry: No. 160
! N(E_F) in states/eV/cell: 4.3

***

(11)
! Tm7CdRh4 | Alexandria | GGA-PBE | relaxed; values from VASP
&SYSTEM
  ibrav = 0, nat = 12, ntyp = 3
/
ATOMIC_SPECIES
Rh 102.91 Rh.upf
Tm 168.93 Tm.upf
Cd 112.41 Cd.upf
CELL_PARAMETERS angstrom
-1.823 3.402 3.756
0.538 -3.669 7.446
5.396 3.425 3.379
ATOMIC_POSITIONS angstrom
Rh 2.568 3.323 5.960
Rh 1.542 -0.164 8.620
Rh 4.137 3.200 10.694
Rh -0.026 -0.042 3.887
Tm 2.111 1.823 3.235
Tm 1.401 -1.296 5.716
Tm -0.912 1.701 1.878
Tm 2.000 1.336 11.346
Tm 2.710 4.455 8.865
Tm 0.420 1.867 6.235
Tm 3.691 1.291 8.345
Cd 0.000 0.000 0.000
! Mass density in g cm⁻³: 10.09
! Calculated volume in A^3/atom: 23.407
! Calculated formation energy in eV per atom: -0.4994
! Symmetry: No. 12
! N(E_F) in states/eV/cell: 7.1

***

(12)
! NbFe2RuAu | Alexandria | GGA-PBE | relaxed; values from VASP
&SYSTEM
  ibrav = 0, nat = 5, ntyp = 4
/
ATOMIC_SPECIES
Ru 101.07 Ru.upf
Fe 55.84 Fe.upf
Au 196.97 Au.upf
Nb 92.91 Nb.upf
CELL_PARAMETERS angstrom
-0.066 4.518 -0.263
-3.655 0.116 2.899
2.813 0.247 3.537
ATOMIC_POSITIONS angstrom
Ru -1.827 0.058 1.449
Fe 1.407 0.124 1.769
Fe -0.033 2.259 -0.132
Au -0.454 2.440 3.086
Nb 0.000 0.000 0.000
! Mass density in g cm⁻³: 8.73
! Calculated volume in A^3/atom: 19.121
! Calculated formation energy in eV per atom: 1.4234
! Symmetry: No. 123
! N(E_F) in states/eV/cell: 4.7